An optimized crystal structure of Rb2TlCdAg, computed with GGA-PBE.

Properties
Formation energy from the elements in eV per formula unit: 0.72

Cell lengths 6.7832, 6.7832, 5.3752 Å; angles 90.00, 90.00, 90.00 degrees
Element x y z (fractional)
Rb (0.0000, 0.5000, 0.0000)
Rb (0.5000, 0.0000, 0.0000)
Tl (0.0000, 0.0000, 0.5000)
Cd (0.5000, 0.5000, 0.5000)
Ag (0.0000, 0.0000, 0.0000)